A plane-wave DFT calculation with PBE was carried out for a relaxed structure of LiSm2Ni3Sn4.

V ... 20.3 A^3/atom
Energy of formation from the pure elements ... -0.52 eV per atom
Electronic total energy ... -49.91 eV for the cell shown
Total magnetization ... 0.00 μB per atom

Unit cell a=4.4331 b=4.4331 c=10.3421 alpha=90.00 beta=90.00 gamma=90.00
Closest atoms and distances in Å follow each position.
Element x y z (fractional)
Sn (0.0000, 0.0000, 0.0000)  4 Ni 2.57
Li (0.5000, 0.5000, 0.5000)  4 Sn 2.60
Sm (0.5000, 0.0000, 0.2549)  8 Sn 3.35-3.44, 2 Li 3.37, 6 Ni 3.37-3.41
Ni (0.5000, 0.0000, 0.8738)  5 Sn 2.50-2.57
Ni (0.0000, 0.5000, 0.1262)  5 Sn 2.50-2.57
Sn (0.5000, 0.0000, 0.6317)  3 Ni 2.50-2.60, 2 Li 2.60
Sn (0.0000, 0.5000, 0.3683)  3 Ni 2.50-2.60, 2 Li 2.60
Ni (0.0000, 0.0000, 0.5000)  4 Sn 2.60
Sm (0.0000, 0.5000, 0.7451)  8 Sn 3.35-3.44, 2 Li 3.37, 6 Ni 3.37-3.41
Sn (0.5000, 0.5000, 0.0000)  4 Ni 2.57


A plane-wave DFT calculation with PBE was carried out for a relaxed structure of LiSmZn3Ni.

V ... 17.0 A^3/atom
Energy of formation from the pure elements ... -0.15 eV per atom
Electronic total energy ... -34.25 eV for the cell shown
Total magnetization ... 0.00 μB per atom

Unit cell a=5.4255 b=6.0791 c=6.8826 alpha=116.21 beta=90.00 gamma=90.00
Closest atoms and distances in Å follow each position.
Element x y z (fractional)
Zn (0.5000, 0.7058, 0.0000)  2 Li 2.41, 1 Zn 2.50, 2 Ni 2.60
Zn (0.5000, 0.2942, 0.0000)  2 Li 2.41, 1 Zn 2.50, 2 Ni 2.60
Ni (0.7500, 0.6478, 0.2957)  5 Zn 2.58-2.60, 2 Sm 2.81
Zn (0.0000, 0.2942, 0.0000)  2 Li 2.41, 1 Zn 2.50, 2 Ni 2.60
Sm (0.7500, 0.2934, 0.5868)  1 Li 2.73, 2 Ni 2.81
Sm (0.2500, 0.7066, 0.4132)  1 Li 2.73, 2 Ni 2.81
Zn (0.7500, 0.8570, 0.7140)  1 Ni 2.58, 3 Li 2.65-2.85, 4 Zn 2.86
Ni (0.2500, 0.3522, 0.7043)  5 Zn 2.58-2.60, 2 Sm 2.81
Li (0.2500, 0.9281, 0.8561)  5 Zn 2.41-2.65
Li (0.7500, 0.0719, 0.1439)  5 Zn 2.41-2.65
Zn (0.2500, 0.1430, 0.2860)  1 Ni 2.58, 3 Li 2.65-2.85, 4 Zn 2.86
Zn (0.0000, 0.7058, 0.0000)  2 Li 2.41, 1 Zn 2.50, 2 Ni 2.60


A plane-wave DFT calculation with PBE was carried out for a relaxed structure of LiSm2Zn3Ni12.

V ... 14.8 A^3/atom
Energy of formation from the pure elements ... 0.13 eV per atom
Electronic total energy ... -82.13 eV for the cell shown
Total magnetization ... 0.00 μB per atom

Unit cell a=9.0706 b=9.0706 c=9.0706 alpha=39.03 beta=39.03 gamma=39.03
Closest atoms and distances in Å follow each position.
Element x y z (fractional)
Ni (0.9343, 0.9343, 0.3415)  1 Li 2.26, 4 Ni 2.36-2.47, 1 Zn 2.45
Ni (0.5753, 0.1866, 0.5753)  4 Ni 2.36, 2 Zn 2.40
Ni (0.3415, 0.9343, 0.9343)  1 Li 2.26, 4 Ni 2.36-2.47, 1 Zn 2.45
Ni (0.1866, 0.5753, 0.5753)  4 Ni 2.36, 2 Zn 2.40
Ni (0.4247, 0.8134, 0.4247)  4 Ni 2.36, 2 Zn 2.40
Ni (0.6585, 0.0657, 0.0657)  1 Li 2.26, 4 Ni 2.36-2.47, 1 Zn 2.45
Ni (0.8134, 0.4247, 0.4247)  4 Ni 2.36, 2 Zn 2.40
Ni (0.5753, 0.5753, 0.1866)  4 Ni 2.36, 2 Zn 2.40
Ni (0.0657, 0.6585, 0.0657)  1 Li 2.26, 4 Ni 2.36-2.47, 1 Zn 2.45
Zn (0.5000, 0.0000, 0.0000)  6 Ni 2.40-2.45
Ni (0.4247, 0.4247, 0.8134)  4 Ni 2.36, 2 Zn 2.40
Zn (0.0000, 0.5000, 0.0000)  6 Ni 2.40-2.45
Ni (0.9343, 0.3415, 0.9343)  1 Li 2.26, 4 Ni 2.36-2.47, 1 Zn 2.45
Zn (0.0000, 0.0000, 0.5000)  6 Ni 2.40-2.45
Sm (0.6589, 0.6589, 0.6589)  6 Ni 2.85-2.96
Ni (0.0657, 0.0657, 0.6585)  1 Li 2.26, 4 Ni 2.36-2.47, 1 Zn 2.45
Li (0.0000, 0.0000, 0.0000)  6 Ni 2.26
Sm (0.3411, 0.3411, 0.3411)  6 Ni 2.85-2.96


A plane-wave DFT calculation with PBE was carried out for a relaxed structure of LiNi2Sn2.

V ... 18.5 A^3/atom
Energy of formation from the pure elements ... -0.05 eV per atom
Electronic total energy ... -21.73 eV for the cell shown
Total magnetization ... 0.00 μB per atom

Unit cell a=4.8514 b=4.8514 c=5.2223 alpha=62.32 beta=62.32 gamma=90.00
Closest atoms and distances in Å follow each position.
Element x y z (fractional)
Li (0.0000, 0.0000, 0.0000)  2 Ni 2.78
Sn (0.2500, 0.7500, 0.5000)  4 Ni 2.56
Sn (0.7500, 0.2500, 0.5000)  4 Ni 2.56
Ni (0.3526, 0.3526, 0.2948)  1 Ni 2.32, 4 Sn 2.56
Ni (0.6474, 0.6474, 0.7052)  1 Ni 2.32, 4 Sn 2.56


A plane-wave DFT calculation with PBE was carried out for a relaxed structure of Li2NiSn2.

V ... 19.8 A^3/atom
Energy of formation from the pure elements ... -0.19 eV per atom
Electronic total energy ... -37.18 eV for the cell shown
Total magnetization ... 0.00 μB per atom

Unit cell a=6.7087 b=6.7087 c=4.3930 alpha=90.00 beta=90.00 gamma=90.00
Closest atoms and distances in Å follow each position.
Element x y z (fractional)
Sn (0.8451, 0.6549, 0.0000)  2 Ni 2.54, 2 Li 2.83
Li (0.3429, 0.1571, 0.5000)  6 Sn 2.83-3.03, 1 Li 2.98
Li (0.6571, 0.8429, 0.5000)  6 Sn 2.83-3.03, 1 Li 2.98
Sn (0.1549, 0.3451, 0.0000)  2 Ni 2.54, 2 Li 2.83
Ni (0.5000, 0.5000, 0.0000)  4 Sn 2.54
Ni (0.0000, 0.0000, 0.0000)  4 Sn 2.54
Sn (0.6549, 0.1549, 0.0000)  2 Ni 2.54, 2 Li 2.83
Li (0.8429, 0.3429, 0.5000)  6 Sn 2.83-3.03, 1 Li 2.98
Sn (0.3451, 0.8451, 0.0000)  2 Ni 2.54, 2 Li 2.83
Li (0.1571, 0.6571, 0.5000)  6 Sn 2.83-3.03, 1 Li 2.98


A plane-wave DFT calculation with PBE was carried out for a relaxed structure of Li2NiSn2.

V ... 18.8 A^3/atom
Energy of formation from the pure elements ... -0.22 eV per atom
Electronic total energy ... -37.46 eV for the cell shown
Total magnetization ... 0.00 μB per atom

Unit cell a=5.4403 b=5.7916 c=7.1747 alpha=113.80 beta=112.28 gamma=90.00
Closest atoms and distances in Å follow each position.
Element x y z (fractional)
Sn (0.3343, 0.5038, 0.6687)  2 Ni 2.59
Li (0.5907, 0.9268, 0.1814)  2 Ni 2.61, 1 Li 2.88, 1 Sn 2.91
Sn (0.8343, 0.1648, 0.6687)  2 Ni 2.59
Sn (0.1657, 0.8352, 0.3313)  2 Ni 2.59
Li (0.9093, 0.7453, 0.8186)  2 Ni 2.61, 1 Li 2.88, 1 Sn 2.91
Li (0.4093, 0.0732, 0.8186)  2 Ni 2.61, 1 Li 2.88, 1 Sn 2.91
Ni (0.7500, 0.5000, 0.0000)  4 Sn 2.59, 4 Li 2.61, 2 Ni 2.72
Sn (0.6657, 0.4962, 0.3313)  2 Ni 2.59
Li (0.0907, 0.2547, 0.1814)  2 Ni 2.61, 1 Li 2.88, 1 Sn 2.91
Ni (0.2500, 0.5000, 0.0000)  4 Sn 2.59, 4 Li 2.61, 2 Ni 2.72


A plane-wave DFT calculation with PBE was carried out for a relaxed structure of LiNi8Sn6.

V ... 16.7 A^3/atom
Energy of formation from the pure elements ... -0.05 eV per atom
Electronic total energy ... -72.90 eV for the cell shown
Total magnetization ... 0.00 μB per atom

Unit cell a=7.4375 b=7.4375 c=6.7636 alpha=56.65 beta=56.65 gamma=60.00
Closest atoms and distances in Å follow each position.
Element x y z (fractional)
Ni (0.1852, 0.9374, 0.3210)  2 Ni 2.56-2.63, 5 Sn 2.57-2.77
Ni (0.4436, 0.8148, 0.6790)  2 Ni 2.56-2.63, 5 Sn 2.57-2.77
Sn (0.8791, 0.3128, 0.2053)  7 Ni 2.57-2.77, 1 Li 2.87
Sn (0.6872, 0.3972, 0.7947)  7 Ni 2.57-2.77, 1 Li 2.87
Ni (0.0626, 0.4436, 0.6790)  2 Ni 2.56-2.63, 5 Sn 2.57-2.77
Ni (0.8148, 0.0626, 0.6790)  2 Ni 2.56-2.63, 5 Sn 2.57-2.77
Ni (0.2960, 0.2960, 0.1119)  3 Ni 2.56, 6 Sn 2.68-2.75
Ni (0.9374, 0.5564, 0.3210)  2 Ni 2.56-2.63, 5 Sn 2.57-2.77
Ni (0.7040, 0.7040, 0.8881)  3 Ni 2.56, 6 Sn 2.68-2.75
Li (0.0000, 0.0000, 0.0000)  6 Sn 2.87, 6 Ni 2.89
Sn (0.3972, 0.1209, 0.7947)  7 Ni 2.57-2.77, 1 Li 2.87
Sn (0.1209, 0.6872, 0.7947)  7 Ni 2.57-2.77, 1 Li 2.87
Ni (0.5564, 0.1852, 0.3210)  2 Ni 2.56-2.63, 5 Sn 2.57-2.77
Sn (0.6028, 0.8791, 0.2053)  7 Ni 2.57-2.77, 1 Li 2.87
Sn (0.3128, 0.6028, 0.2053)  7 Ni 2.57-2.77, 1 Li 2.87


A plane-wave DFT calculation with PBE was carried out for a relaxed structure of LiNi5Sn2.

V ... 15.3 A^3/atom
Energy of formation from the pure elements ... -0.02 eV per atom
Electronic total energy ... -38.97 eV for the cell shown
Total magnetization ... 0.00 μB per atom

Unit cell a=3.4451 b=6.3755 c=6.3755 alpha=67.32 beta=74.32 gamma=74.32
Closest atoms and distances in Å follow each position.
Element x y z (fractional)
Li (0.0000, 0.0000, 0.0000)  4 Sn 2.94, 8 Ni 3.06
Sn (0.7369, 0.7631, 0.7631)  7 Ni 2.49-2.64
Ni (0.6226, 0.1908, 0.5641)  4 Ni 2.46-2.64, 3 Sn 2.49-2.59
Ni (0.0000, 0.5000, 0.5000)  8 Ni 2.49, 2 Sn 2.64
Ni (0.3774, 0.8092, 0.4359)  4 Ni 2.46-2.64, 3 Sn 2.49-2.59
Ni (0.6226, 0.5641, 0.1908)  4 Ni 2.46-2.64, 3 Sn 2.49-2.59
Ni (0.3774, 0.4359, 0.8092)  4 Ni 2.46-2.64, 3 Sn 2.49-2.59
Sn (0.2631, 0.2369, 0.2369)  7 Ni 2.49-2.64


What did the second record say?
A plane-wave DFT calculation with PBE was carried out for a relaxed structure of LiSmZn3Ni.

V ... 17.0 A^3/atom
Energy of formation from the pure elements ... -0.15 eV per atom
Electronic total energy ... -34.25 eV for the cell shown
Total magnetization ... 0.00 μB per atom

Unit cell a=5.4255 b=6.0791 c=6.8826 alpha=116.21 beta=90.00 gamma=90.00
Closest atoms and distances in Å follow each position.
Element x y z (fractional)
Zn (0.5000, 0.7058, 0.0000)  2 Li 2.41, 1 Zn 2.50, 2 Ni 2.60
Zn (0.5000, 0.2942, 0.0000)  2 Li 2.41, 1 Zn 2.50, 2 Ni 2.60
Ni (0.7500, 0.6478, 0.2957)  5 Zn 2.58-2.60, 2 Sm 2.81
Zn (0.0000, 0.2942, 0.0000)  2 Li 2.41, 1 Zn 2.50, 2 Ni 2.60
Sm (0.7500, 0.2934, 0.5868)  1 Li 2.73, 2 Ni 2.81
Sm (0.2500, 0.7066, 0.4132)  1 Li 2.73, 2 Ni 2.81
Zn (0.7500, 0.8570, 0.7140)  1 Ni 2.58, 3 Li 2.65-2.85, 4 Zn 2.86
Ni (0.2500, 0.3522, 0.7043)  5 Zn 2.58-2.60, 2 Sm 2.81
Li (0.2500, 0.9281, 0.8561)  5 Zn 2.41-2.65
Li (0.7500, 0.0719, 0.1439)  5 Zn 2.41-2.65
Zn (0.2500, 0.1430, 0.2860)  1 Ni 2.58, 3 Li 2.65-2.85, 4 Zn 2.86
Zn (0.0000, 0.7058, 0.0000)  2 Li 2.41, 1 Zn 2.50, 2 Ni 2.60


Q: energy of formation from the pure elements of number 4 (LiNi2Sn2)?
A: -0.05 eV per atom